Computed, not measured: a relaxed InTe2P crystal at the GGA-PBE level of DFT.

The space group is Pmmm (No. 47) and the conventional cell measures 3.695, 5.049 and 5.354 Å, with angles of 90.00, 90.00 and 90.00 degrees. Symmetry generates all atoms from In at (0.000, 0.000, 0.000), Te at (0.000, 0.500, 0.500), Te at (0.500, 0.500, 0.000) and P at (0.500, 0.000, 0.500).

The value obtained for the excess energy over the best structure of this formula in the dataset is 374 meV per atom. The energy relative to the elements, uncorrected is 0.40 eV per atom. As for the total magnetic moment: 0.00 Bohr magnetons per cell.



Computed, not measured: a relaxed KNaPtPb2 crystal at the GGA-PBE level of DFT.

The space group is P4/mmm (No. 123) and the conventional cell measures 5.433, 5.433 and 5.666 Å, with angles of 90.00, 90.00 and 90.00 degrees. Symmetry generates all atoms from K at (0.000, 0.000, 0.000), Na at (0.500, 0.500, 0.000), Pt at (0.500, 0.500, 0.500) and Pb at (0.000, 0.500, 0.500).

The formation energy is -10 kJ/mol of atoms. As for the total magnetic moment: 0.00 Bohr magnetons per cell.



Computed, not measured: a relaxed YEr3Ru crystal at the GGA-PBE level of DFT.

The space group is Pm-3m (No. 221) and the conventional cell measures 5.342, 5.342 and 5.342 Å, with angles of 90.00, 90.00 and 90.00 degrees. Symmetry generates all atoms from Y at (0.000, 0.000, 0.000), Er at (0.000, 0.500, 0.500) and Ru at (0.500, 0.500, 0.500).

The formation energy is -8 kJ/mol of atoms. The value obtained for the excess energy over the best structure of this formula in the dataset is 69 meV per atom. As for the total magnetic moment: 0.01 Bohr magnetons per cell.



Computed, not measured: a relaxed Ca2TlFe2 crystal at the GGA-PBE level of DFT.

The space group is I4/mmm (No. 139) and the conventional cell measures 3.394, 3.394 and 20.073 Å, with angles of 90.00, 90.00 and 90.00 degrees. Symmetry generates all atoms from Ca at (0.000, 0.000, 0.121), Tl at (0.000, 0.000, 0.500) and Fe at (0.000, 0.500, 0.250).

The formation energy is 18 kJ/mol of atoms. As for the total magnetic moment: 9.06 Bohr magnetons per cell.



Computed, not measured: a relaxed InSiTc2 crystal at the GGA-PBE level of DFT.

The space group is C2/m (No. 12) and the conventional cell measures 8.327, 2.985 and 5.350 Å, with angles of 90.00, 103.59 and 90.00 degrees. Symmetry generates all atoms from In at (0.000, 0.000, 0.000), Si at (0.000, 0.500, 0.500) and Tc at (0.232, 0.000, 0.703).

The value obtained for the excess energy over the best structure of this formula in the dataset is 185 meV per atom. The energy relative to the elements, uncorrected is 0.10 eV per atom. As for the total magnetic moment: 0.00 Bohr magnetons per cell.



Computed, not measured: a relaxed LiCd crystal at the GGA-PBE level of DFT.

The space group is R-3m (No. 166, hexagonal axes) and the conventional cell measures 3.0887, 3.0887 and 14.3314 Å, with angles of 90.00, 90.00 and 120.00 degrees. Symmetry generates all atoms from Li at (0.0000, 0.0000, 0.0000) and Cd at (0.0000, 0.0000, 0.5000).

The formation energy is -14 kJ/mol of atoms. As for the total magnetic moment: 0.00 Bohr magnetons per cell.



Computed, not measured: a relaxed PmY6Se8 crystal at the GGA-PBE level of DFT.

The space group is R-3 (No. 148, hexagonal axes) and the conventional cell measures 11.2226, 11.2226 and 12.6740 Å, with angles of 90.00, 90.00 and 120.00 degrees. Symmetry generates all atoms from Pm at (0.0000, 0.0000, 0.0000), Y at (0.0162, 0.1942, 0.3837), Se at (0.0000, 0.0000, 0.2294) and Se at (0.0176, 0.3958, 0.2558).

The value obtained for the excess energy over the best structure of this formula in the dataset is 355 meV per atom. The energy relative to the elements, uncorrected is -1.49 eV per atom. As for the total magnetic moment: 0.42 Bohr magnetons per cell.



Computed, not measured: a relaxed TiMoOs crystal at the GGA-PBE level of DFT.

The space group is P3m1 (No. 156) and the conventional cell measures 4.3966, 4.3966 and 5.4299 Å, with angles of 90.00, 90.00 and 120.00 degrees. Symmetry generates all atoms from Ti at (0.0000, 0.0000, 0.0000), Ti at (0.3333, 0.6667, 0.6729), Mo at (0.3333, 0.6667, 0.1740), Mo at (0.6667, 0.3333, 0.3350), Os at (0.0000, 0.0000, 0.5052) and Os at (0.6667, 0.3333, 0.8360).

The formation energy is -38 kJ/mol of atoms. The value obtained for the excess energy over the best structure of this formula in the dataset is 0 meV per atom. As for the total magnetic moment: 0.00 Bohr magnetons per cell.



Computed, not measured: a relaxed KMgRu2 crystal at the GGA-PBE level of DFT.

The space group is Cmmm (No. 65) and the conventional cell measures 2.950, 4.719 and 10.147 Å, with angles of 90.00, 90.00 and 90.00 degrees. Symmetry generates all atoms from K at (0.000, 0.000, 0.000), Mg at (0.000, 0.000, 0.500) and Ru at (0.000, 0.500, 0.281).

The formation energy is 69 kJ/mol of atoms. As for the total magnetic moment: 0.00 Bohr magnetons per cell.



Computed, not measured: a relaxed DyErP2 crystal at the GGA-PBE level of DFT.

The space group is R3m (No. 160, hexagonal axes) and the conventional cell measures 3.9478, 3.9478 and 20.3573 Å, with angles of 90.00, 90.00 and 120.00 degrees. Symmetry generates all atoms from Dy at (0.0000, 0.0000, 0.0000), Er at (0.0000, 0.0000, 0.8286), P at (0.0000, 0.0000, 0.2459) and P at (0.0000, 0.0000, 0.4163).

The formation energy is -140 kJ/mol of atoms. The value obtained for the excess energy over the best structure of this formula in the dataset is 167 meV per atom. As for the total magnetic moment: 0.00 Bohr magnetons per cell.



Computed, not measured: a relaxed Zn9SnAu2 crystal at the GGA-PBE level of DFT.

The space group is I4_1/amd (No. 141, origin choice 2) and the conventional cell measures 10.892, 10.892 and 6.968 Å, with angles of 90.00, 90.00 and 90.00 degrees. Symmetry generates all atoms from Zn at (0.000, 0.250, 0.375), Zn at (0.122, 0.041, 0.175), Sn at (0.000, 0.250, 0.875) and Au at (0.000, 0.000, 0.500).

The formation energy is -5 kJ/mol of atoms. As for the total magnetic moment: 0.00 Bohr magnetons per cell.